(1)
# PBE Th8Ge3TeSe4, relaxed
data_Th8Ge3TeSe4
_chemical_formula_sum 'Th8 Ge3 Te1 Se4'
_symmetry_space_group_name_H-M 'P 1'
_symmetry_Int_Tables_number 1
_symmetry_space_group_name_Hall 'P 1'
_cell_length_a 8.632
_cell_length_b 8.511
_cell_length_c 8.633
_cell_angle_alpha 120.48
_cell_angle_beta 120.00
_cell_angle_gamma 90.00
loop_
_atom_site_label
_atom_site_fract_x
_atom_site_fract_y
_atom_site_fract_z
Th1 0.259 0.752 0.994
Th2 0.259 0.752 0.517
Th3 0.253 0.259 0.506
Th4 0.735 0.752 0.994
Th5 0.265 0.248 0.006
Th6 0.747 0.741 0.494
Th7 0.741 0.248 0.483
Th8 0.741 0.248 0.006
Ge1 0.500 0.500 0.000
Ge2 0.500 0.500 0.500
Ge3 0.000 0.500 0.500
Te1 0.000 0.500 0.000
Se1 0.500 0.000 0.000
Se2 0.500 0.000 0.500
Se3 0.000 0.000 0.000
Se4 0.000 0.000 0.500
# raw formation energy	-1.24	eV per atom
# electronic total energy	-6.89	eV/atom


(2)
# PBE Th8GeTe4Se3, relaxed
data_Th8GeTe4Se3
_chemical_formula_sum 'Th8 Ge1 Te4 Se3'
_symmetry_space_group_name_H-M 'P 1'
_symmetry_Int_Tables_number 1
_symmetry_space_group_name_Hall 'P 1'
_cell_length_a 8.499
_cell_length_b 8.928
_cell_length_c 8.500
_cell_angle_alpha 118.43
_cell_angle_beta 120.00
_cell_angle_gamma 90.00
loop_
_atom_site_label
_atom_site_fract_x
_atom_site_fract_y
_atom_site_fract_z
Th1 0.241 0.722 0.981
Th2 0.241 0.722 0.481
Th3 0.259 0.278 0.519
Th4 0.741 0.722 0.981
Th5 0.259 0.278 0.019
Th6 0.741 0.722 0.481
Th7 0.759 0.278 0.519
Th8 0.759 0.278 0.019
Ge1 0.000 0.500 0.000
Te1 0.500 0.000 0.000
Te2 0.500 0.000 0.500
Te3 0.000 0.000 0.000
Te4 0.000 0.000 0.500
Se1 0.500 0.500 0.000
Se2 0.500 0.500 0.500
Se3 0.000 0.500 0.500
# raw formation energy	-1.22	eV per atom
# electronic total energy	-6.66	eV/atom


(3)
# PBE Th6Ge2TeSe3, relaxed
data_Th6Ge2TeSe3
_chemical_formula_sum 'Th6 Ge2 Te1 Se3'
_symmetry_space_group_name_H-M 'P 1'
_symmetry_Int_Tables_number 1
_symmetry_space_group_name_Hall 'P 1'
_cell_length_a 4.316
_cell_length_b 8.535
_cell_length_c 9.526
_cell_angle_alpha 101.05
_cell_angle_beta 103.09
_cell_angle_gamma 90.00
loop_
_atom_site_label
_atom_site_fract_x
_atom_site_fract_y
_atom_site_fract_z
Th1 0.325 0.907 0.650
Th2 0.669 0.579 0.337
Th3 0.675 0.093 0.350
Th4 0.004 0.269 0.007
Th5 0.996 0.731 0.993
Th6 0.331 0.421 0.663
Ge1 0.833 0.668 0.666
Ge2 0.167 0.332 0.334
Te1 0.500 0.000 0.000
Se1 0.500 0.500 0.000
Se2 0.838 0.168 0.676
Se3 0.162 0.832 0.324
# raw formation energy	-1.24	eV per atom
# electronic total energy	-6.85	eV/atom


Look up the electronic total energy of the first one. -6.89 eV/atom


Among the records above, which one has the lowest electronic total energy? Th8Ge3TeSe4